CaHfNi3 | PBEsol | optimized geometry

Geometry as extended XYZ:
```
5
Lattice="-0.883 1.473 4.043 -1.047 -4.077 1.257 4.174 -0.711 1.171" Properties=species:S:1:pos:R:3 pbc="T T T"
Ni -0.524 -2.039 0.628
Ni 2.087 -0.356 0.585
Ni -0.442 0.737 2.022
Ca 0.000 0.000 0.000
Hf 1.122 -1.657 3.236
```

Values from the calculation:
As for the energy relative to the elements: 1145 meV/atom. The calculated volume comes out at 16.96 A^3/atom. The raw total energy is -0.187 hartree per atom.

---

IrSe2Cl | PBEsol | optimized geometry

Geometry as extended XYZ:
```
4
Lattice="3.714 0.000 0.000 0.000 4.863 -0.263 0.000 -2.222 4.420" Properties=species:S:1:pos:R:3 pbc="T T T"
Ir 1.857 2.432 -0.131
Se 0.000 3.864 0.597
Se 0.000 -1.223 3.561
Cl 1.857 1.321 2.079
```

Values from the calculation:
The uncorrected formation energy is -212 meV per atom. For the excess energy over the best structure of this formula in the dataset, the calculation gives 0.0 meV per atom. The calculated volume comes out at 19.42 A^3/atom. The raw total energy is -0.187 hartree per atom.

---

CuBrCl2 | PBEsol | optimized geometry

Geometry as extended XYZ:
```
4
Lattice="-2.229 -0.029 1.965 3.398 -1.350 1.588 2.322 9.102 2.767" Properties=species:S:1:pos:R:3 pbc="T T T"
Cu 0.047 4.536 2.366
Br -1.114 -0.014 0.983
Cl 1.543 6.048 1.839
Cl 0.779 3.054 0.928
```

Values from the calculation:
The uncorrected formation energy is -171 meV per atom. The calculated volume comes out at 26.91 A^3/atom. The raw total energy is -0.100 hartree per atom.

---

Rb3TlPd | PBEsol | optimized geometry

Geometry as extended XYZ:
```
5
Lattice="6.616 0.000 0.000 0.000 6.616 0.000 0.000 0.000 6.616" Properties=species:S:1:pos:R:3 pbc="T T T"
Tl 0.000 0.000 0.000
Rb 0.000 3.308 0.000
Rb 0.000 0.000 3.308
Rb 3.308 0.000 0.000
Pd 3.308 3.308 3.308
```

Values from the calculation:
As for the energy relative to the elements: 679 meV/atom. The calculated volume comes out at 57.92 A^3/atom. The raw total energy is -0.061 hartree per atom.

---

Mg2CoSe | PBEsol | optimized geometry

Geometry as extended XYZ:
```
4
Lattice="4.581 0.000 0.000 2.290 3.967 0.000 2.290 1.322 3.740" Properties=species:S:1:pos:R:3 pbc="T T T"
Co 0.000 0.000 0.000
Mg 2.290 1.322 0.935
Mg 6.871 3.967 2.805
Se 4.581 2.645 1.870
```

Values from the calculation:
The uncorrected formation energy is 73 meV per atom. For the excess energy over the best structure of this formula in the dataset, the calculation gives 294.6 meV per atom. The calculated volume comes out at 16.99 A^3/atom. The raw total energy is -0.135 hartree per atom.

---

LaYCu | PBEsol | optimized geometry

Geometry as extended XYZ:
```
3
Lattice="-2.058 2.824 0.458 -1.055 -1.273 3.112 6.220 2.171 1.001" Properties=species:S:1:pos:R:3 pbc="T T T"
Y -0.337 1.546 2.514
Cu 0.112 0.071 0.067
La 3.332 2.105 1.991
```

Values from the calculation:
As for the energy relative to the elements: -70 meV/atom. The calculated volume comes out at 25.59 A^3/atom. The raw total energy is -0.205 hartree per atom.

---

LiCrCl2 | PBEsol | optimized geometry

Geometry as extended XYZ:
```
4
Lattice="3.441 0.000 0.000 0.000 3.598 0.000 0.000 0.000 6.482" Properties=species:S:1:pos:R:3 pbc="T T T"
Cl 0.000 0.000 0.000
Cl 0.000 1.799 3.241
Cr 1.720 1.799 0.000
Li 1.720 0.000 3.241
```

Values from the calculation:
The uncorrected formation energy is -720 meV per atom. For the excess energy over the best structure of this formula in the dataset, the calculation gives 0.0 meV per atom. The calculated volume comes out at 20.06 A^3/atom. The raw total energy is -0.176 hartree per atom.

---

Mo2RuRh | PBEsol | optimized geometry

Geometry as extended XYZ:
```
4
Lattice="-0.007 1.117 2.487 2.558 -2.597 1.174 4.065 3.332 -1.486" Properties=species:S:1:pos:R:3 pbc="T T T"
Ru 3.308 0.926 1.087
Mo 3.032 2.485 -1.108
Mo 1.033 0.847 -0.378
Rh 1.276 -0.740 1.830
```

Values from the calculation:
As for the energy relative to the elements: -67 meV/atom. For the excess energy over the best structure of this formula in the dataset, the calculation gives 12.4 meV per atom. The calculated volume comes out at 14.26 A^3/atom. The raw total energy is -0.387 hartree per atom.